--- one ---
## LaTcAs3 (PBE)

Data for LaTcAs3 after structural relaxation.

Lattice parameters (Å, degrees): 5.3927 5.3927 5.3927 90.00 90.00 90.00
Closest atoms and distances in Å follow each position.
Space group Pm-3m (No. 221)
One atom of each set of equivalent atoms:
La: 0.0000 0.0000 0.0000 [1 per cell]  6 As 2.70
Tc: 0.5000 0.5000 0.5000 [1 per cell]  12 As 3.81
As: 0.0000 0.0000 0.5000 [3 per cell]  2 La 2.70

Calculated values
- Size of the total moment: 0.004 μB/f.u.
- Fermi-level density of states: 2.800 states/eV per atom



--- two ---
## LaTcAs3 (PBE)

Data for LaTcAs3 after structural relaxation.

Lattice parameters (Å, degrees): 4.8784 4.8784 4.8784 90.00 90.00 90.00
Closest atoms and distances in Å follow each position.
Space group Pm-3m (No. 221)
One atom of each set of equivalent atoms:
La: 0.0000 0.0000 0.0000 [1 per cell]  12 As 3.45
Tc: 0.5000 0.5000 0.5000 [1 per cell]  6 As 2.44
As: 0.0000 0.5000 0.5000 [3 per cell]  2 Tc 2.44

Calculated values
- Size of the total moment: 0.000 μB/f.u.
- Fermi-level density of states: 1.088 states/eV per atom



Taking the most stable structure as the zero point, the relative energies in meV/atom are one 1915; two 0.